(1)
12
Lattice="-3.151 0.384 -1.664 0.802 -2.751 -2.153 -3.013 -5.105 8.386" Properties=species:S:1:pos:R:3 comment="Ti2Si3Ni5H2, optimized geometry, DFT PBE" final_energy_ev_per_cell=-73.98 pbc="T T T"
Ni -2.332 -0.943 0.337
Ni -3.030 -6.529 4.232
Ni -5.007 -4.961 4.476
Ni -0.355 -2.511 0.093
Ni -1.175 -1.184 -1.909
Ti -2.851 -3.700 0.684
Ti -2.512 -3.772 3.885
H -3.446 -5.176 5.331
H -1.916 -2.297 -0.762
Si 0.000 0.000 0.000
Si -1.432 -2.151 2.216
Si -3.930 -5.321 2.353

(2)
4
Lattice="2.490 0.000 7.896 -1.245 2.157 7.896 -1.245 -2.157 7.896" Properties=species:S:1:pos:R:3 comment="CsLaF2, optimized geometry, DFT PBE" raw_formation_energy_ev_per_fu=-10.409 final_energy_ev_per_cell=-19.93 relative_energy_mev_per_atom=0 pbc="T T T"
F 0.000 0.000 21.424
F 0.000 0.000 2.264
Cs 0.000 0.000 11.844
La 0.000 0.000 0.000

(3)
5
Lattice="-3.225 -2.452 1.107 2.638 -2.542 2.053 -0.601 2.583 3.971" Properties=species:S:1:pos:R:3 comment="YTi2AgN, optimized geometry, DFT PBE" raw_formation_energy_ev_per_fu=-3.407 final_energy_ev_per_cell=-36.84 pbc="T T T"
N 0.000 0.000 0.000
Ag -0.594 -1.206 3.566
Ti -1.612 -1.226 0.553
Ti 1.319 -1.271 1.027
Y -0.301 1.292 1.986